Entry from Alexandria via LeMat-Bulk: a relaxed Li2BiAu4 crystal (PBE).

Summary:
energy above the lowest structure with this stoichiometry: 0 kJ/mol of formula units
energy: -3.250 eV per atom
formation energy: -276 meV per atom

Lattice parameters (Å, degrees): 7.060 7.060 5.375 90.00 90.00 90.00
Space group I4/mmm (No. 139)
Asymmetric unit:
1 Li 0.000 0.500 0.250 (multiplicity 4)
2 Bi 0.000 0.000 0.000 (multiplicity 2)
3 Au 0.204 0.204 0.500 (multiplicity 8)

Entry from Alexandria via LeMat-Bulk: a relaxed Ga2AgAu2 crystal (PBE).

Summary:
energy above the lowest structure with this stoichiometry: 77 kJ/mol of formula units
energy: -3.066 eV per atom
formation energy: 26 meV per atom

Lattice parameters (Å, degrees): 4.239 4.239 11.024 90.00 90.00 90.00
Space group I4/mmm (No. 139)
Asymmetric unit:
1 Ga 0.000 0.000 0.109 (multiplicity 4)
2 Ag 0.000 0.000 0.500 (multiplicity 2)
3 Au 0.000 0.500 0.250 (multiplicity 4)

Entry from Alexandria via LeMat-Bulk: a relaxed Li2ScPt2 crystal (PBE).

Summary:
energy above the lowest structure with this stoichiometry: 25 kJ/mol of formula units
energy: -5.176 eV per atom
formation energy: -728 meV per atom

Lattice parameters (Å, degrees): 7.132 7.132 2.898 90.00 90.00 90.00
Space group P4/mbm (No. 127)
Asymmetric unit:
1 Li 0.110 0.390 0.000 (multiplicity 4)
2 Sc 0.000 0.000 0.000 (multiplicity 2)
3 Pt 0.189 0.689 0.500 (multiplicity 4)

Entry from Alexandria via LeMat-Bulk: a relaxed TmAlCo crystal (PBE).

Summary:
energy: -5.431 eV per atom
formation energy: -324 meV per atom

Lattice parameters (Å, degrees): 4.2298 4.2298 3.5529 90.00 90.00 120.00
Space group P-6m2 (No. 187)
Asymmetric unit:
1 Tm 0.0000 0.0000 0.0000 (multiplicity 1)
2 Al 0.3333 0.6667 0.5000 (multiplicity 1)
3 Co 0.6667 0.3333 0.5000 (multiplicity 1)

Entry from Alexandria via LeMat-Bulk: a relaxed TbSm4Te6 crystal (PBE).

Summary:
uncorrected formation energy: -1.40 eV per atom
energy: -5.251 eV per atom

Lattice parameters (Å, degrees): 4.311 14.561 22.615 90.00 90.00 90.00
Space group Cmcm (No. 63)
Asymmetric unit:
1 Tb 0.000 0.154 0.250 (multiplicity 4)
2 Sm 0.000 0.086 0.627 (multiplicity 8)
3 Sm 0.000 0.356 0.536 (multiplicity 8)
4 Te 0.000 0.000 0.000 (multiplicity 4)
5 Te 0.000 0.190 0.750 (multiplicity 4)
6 Te 0.000 0.269 0.094 (multiplicity 8)
7 Te 0.000 0.441 0.667 (multiplicity 8)

Entry from Alexandria via LeMat-Bulk: a relaxed TbSc3Co crystal (PBE).

Summary:
energy above the lowest structure with this stoichiometry: 19 kJ/mol of formula units
energy: -6.231 eV per atom
formation energy: -85 meV per atom

Lattice parameters (Å, degrees): 7.332 6.697 9.573 90.00 105.91 90.00
Space group P2_1/c (No. 14)
Asymmetric unit:
1 Tb 0.190 0.045 0.258 (multiplicity 4)
2 Sc 0.079 0.708 0.032 (multiplicity 4)
3 Sc 0.301 0.517 0.378 (multiplicity 4)
4 Sc 0.405 0.127 0.599 (multiplicity 4)
5 Co 0.445 0.743 0.610 (multiplicity 4)

Entry from Alexandria via LeMat-Bulk: a relaxed Te2RhI crystal (PBE).

Summary:
uncorrected formation energy: -0.21 eV per atom
energy: -4.002 eV per atom

Lattice parameters (Å, degrees): 14.005 3.970 10.781 90.00 124.29 90.00
Space group C2/m (No. 12)
Asymmetric unit:
1 Te 0.028 0.000 0.154 (multiplicity 4)
2 Te 0.064 0.500 0.440 (multiplicity 4)
3 Rh 0.097 0.500 0.850 (multiplicity 4)
4 I 0.235 0.000 0.843 (multiplicity 4)

Entry from Alexandria via LeMat-Bulk: a relaxed DyYMo2N6 crystal (PBE).

Summary:
uncorrected formation energy: -0.90 eV per atom
energy: -9.170 eV per atom

Lattice parameters (Å, degrees): 11.153 9.575 6.290 90.00 112.13 90.00
Space group C2/c (No. 15)
Asymmetric unit:
1 Dy 0.000 0.207 0.250 (multiplicity 4)
2 Y 0.000 0.412 0.750 (multiplicity 4)
3 Mo 0.210 0.090 0.726 (multiplicity 8)
4 N 0.110 0.390 0.155 (multiplicity 8)
5 N 0.131 0.255 0.660 (multiplicity 8)
6 N 0.144 0.010 0.431 (multiplicity 8)

Entry from Alexandria via LeMat-Bulk: a relaxed Pr12Tl5Au2 crystal (PBE).

Summary:
energy: -4.246 eV per atom
formation energy: -260 meV per atom

Lattice parameters (Å, degrees): 17.848 7.482 9.367 90.00 94.43 90.00
Space group C2/m (No. 12)
Asymmetric unit:
1 Pr 0.003 0.000 0.300 (multiplicity 4)
2 Pr 0.040 0.500 0.186 (multiplicity 4)
3 Pr 0.151 0.249 0.511 (multiplicity 8)
4 Pr 0.161 0.251 0.934 (multiplicity 8)
5 Tl 0.000 0.500 0.500 (multiplicity 2)
6 Tl 0.207 0.000 0.244 (multiplicity 4)
7 Tl 0.227 0.500 0.252 (multiplicity 4)
8 Au 0.000 0.185 0.000 (multiplicity 4)

Entry from Alexandria via LeMat-Bulk: a relaxed PrEu3Pt crystal (PBE).

Summary:
energy: -8.631 eV per atom
formation energy: -302 meV per atom

Lattice parameters (Å, degrees): 5.749 5.749 5.749 90.00 90.00 90.00
Space group Pm-3m (No. 221)
Asymmetric unit:
1 Pr 0.000 0.000 0.000 (multiplicity 1)
2 Eu 0.000 0.500 0.500 (multiplicity 3)
3 Pt 0.500 0.500 0.500 (multiplicity 1)

Entry from Alexandria via LeMat-Bulk: a relaxed PmCdO2 crystal (PBE).

Summary:
uncorrected formation energy: -1.25 eV per atom
energy: -5.147 eV per atom

Lattice parameters (Å, degrees): 3.6361 3.6361 20.0316 90.00 90.00 120.00
Space group R-3m (No. 166, hexagonal axes)
Asymmetric unit:
1 Pm 0.0000 0.0000 0.0000 (multiplicity 3)
2 Cd 0.0000 0.0000 0.5000 (multiplicity 3)
3 O 0.0000 0.0000 0.1086 (multiplicity 6)

Entry from Alexandria via LeMat-Bulk: a relaxed NiAsRu2 crystal (PBE).

Summary:
energy: -7.127 eV per atom
formation energy: 118 meV per atom

Lattice parameters (Å, degrees): 2.913 2.913 6.369 90.00 90.00 90.00
Space group P4mm (No. 99)
Asymmetric unit:
1 Ni 0.000 0.000 0.000 (multiplicity 1)
2 As 0.500 0.500 0.798 (multiplicity 1)
3 Ru 0.000 0.000 0.537 (multiplicity 1)
4 Ru 0.500 0.500 0.268 (multiplicity 1)

Entry from Alexandria via LeMat-Bulk: a relaxed NbFe2Au crystal (PBE).

Summary:
energy above the lowest structure with this stoichiometry: 127 kJ/mol of formula units
energy: -7.013 eV per atom
formation energy: 555 meV per atom

Lattice parameters (Å, degrees): 3.846 3.846 17.765 90.00 90.00 90.00
Space group I-42d (No. 122)
Asymmetric unit:
1 Nb 0.000 0.000 0.000 (multiplicity 4)
2 Fe 0.236 0.250 0.125 (multiplicity 8)
3 Au 0.000 0.000 0.500 (multiplicity 4)

Entry from Alexandria via LeMat-Bulk: a relaxed Li2ZrCr crystal (PBE).

Summary:
energy above the lowest structure with this stoichiometry: 38 kJ/mol of formula units
energy: -5.089 eV per atom
formation energy: 411 meV per atom

Lattice parameters (Å, degrees): 3.766 3.766 4.981 90.00 90.00 90.00
Space group P4/mmm (No. 123)
Asymmetric unit:
1 Li 0.000 0.500 0.000 (multiplicity 2)
2 Zr 0.000 0.000 0.500 (multiplicity 1)
3 Cr 0.500 0.500 0.500 (multiplicity 1)

Entry from Alexandria via LeMat-Bulk: a relaxed MgCd2Tc crystal (PBE).

Summary:
energy: -3.142 eV per atom
formation energy: 306 meV per atom

Lattice parameters (Å, degrees): 2.961 2.961 8.719 90.00 90.00 90.00
Space group P4/mmm (No. 123)
Asymmetric unit:
1 Mg 0.000 0.000 0.000 (multiplicity 1)
2 Cd 0.500 0.500 0.265 (multiplicity 2)
3 Tc 0.000 0.000 0.500 (multiplicity 1)

Entry from Alexandria via LeMat-Bulk: a relaxed SrZnH2 crystal (PBE).

Summary:
energy above the lowest structure with this stoichiometry: 47 kJ/mol of formula units
energy: -2.400 eV per atom

Lattice parameters (Å, degrees): 4.633 4.633 11.585 90.00 90.00 90.00
Space group I-42d (No. 122)
Asymmetric unit:
1 Sr 0.000 0.000 0.000 (multiplicity 4)
2 Zn 0.000 0.000 0.500 (multiplicity 4)
3 H 0.068 0.250 0.625 (multiplicity 8)

Entry from Alexandria via LeMat-Bulk: a relaxed TlCl crystal (PBE).

Summary:
uncorrected formation energy: -1.00 eV per atom
energy: -3.105 eV per atom

Lattice parameters (Å, degrees): 4.4818 4.4818 7.8943 90.00 90.00 120.00
Space group P6_3/mmc (No. 194)
Asymmetric unit:
1 Tl 0.0000 0.0000 0.0000 (multiplicity 2)
2 Cl 0.3333 0.6667 0.2500 (multiplicity 2)

Entry from Alexandria via LeMat-Bulk: a relaxed KZnH2Cl crystal (PBE).

Summary:
energy: -1.622 eV per atom

Lattice parameters (Å, degrees): 5.791 5.791 4.492 90.00 90.00 90.00
Space group P4/mmm (No. 123)
Asymmetric unit:
1 K 0.000 0.000 0.000 (multiplicity 1)
2 Zn 0.500 0.500 0.000 (multiplicity 1)
3 H 0.000 0.500 0.500 (multiplicity 2)
4 Cl 0.500 0.500 0.500 (multiplicity 1)

Entry from Alexandria via LeMat-Bulk: a relaxed ErMg2In crystal (PBE).

Summary:
energy above the lowest structure with this stoichiometry: 64 kJ/mol of formula units
energy: -2.721 eV per atom
formation energy: -98 meV per atom

Lattice parameters (Å, degrees): 7.252 7.252 7.252 90.00 90.00 90.00
Space group Fm-3m (No. 225)
Asymmetric unit:
1 Er 0.000 0.000 0.000 (multiplicity 4)
2 Mg 0.250 0.250 0.250 (multiplicity 8)
3 In 0.000 0.000 0.500 (multiplicity 4)

Entry from Alexandria via LeMat-Bulk: a relaxed Pu2GaMo crystal (PBE).

Summary:
energy above the lowest structure with this stoichiometry: 116 kJ/mol of formula units
energy: -10.320 eV per atom
formation energy: 311 meV per atom

Lattice parameters (Å, degrees): 2.544 2.544 10.360 90.00 90.00 90.00
Space group P4/mmm (No. 123)
Asymmetric unit:
1 Pu 0.000 0.000 0.242 (multiplicity 2)
2 Ga 0.500 0.500 0.000 (multiplicity 1)
3 Mo 0.500 0.500 0.500 (multiplicity 1)

Entry from Alexandria via LeMat-Bulk: a relaxed Sc4Cu2NiHg crystal (PBE).

Summary:
energy: -5.305 eV per atom
formation energy: -355 meV per atom

Lattice parameters (Å, degrees): 4.6866 4.6866 22.8600 90.00 90.00 120.00
Space group R-3m (No. 166, hexagonal axes)
Asymmetric unit:
1 Sc 0.0000 0.0000 0.1167 (multiplicity 6)
2 Sc 0.0000 0.0000 0.3688 (multiplicity 6)
3 Cu 0.0000 0.0000 0.2471 (multiplicity 6)
4 Ni 0.0000 0.0000 0.0000 (multiplicity 3)
5 Hg 0.0000 0.0000 0.5000 (multiplicity 3)

Entry from Alexandria via LeMat-Bulk: a relaxed SrAuBr2N crystal (PBE).

Summary:
uncorrected formation energy: -0.20 eV per atom
energy: -3.522 eV per atom

Lattice parameters (Å, degrees): 5.822 5.822 3.820 90.00 90.00 90.00
Space group P4/mmm (No. 123)
Asymmetric unit:
1 Sr 0.000 0.000 0.000 (multiplicity 1)
2 Au 0.500 0.500 0.000 (multiplicity 1)
3 Br 0.000 0.500 0.500 (multiplicity 2)
4 N 0.500 0.500 0.500 (multiplicity 1)

Entry from Alexandria via LeMat-Bulk: a relaxed Zr3Be crystal (PBE).

Summary:
energy above the lowest structure with this stoichiometry: 19 kJ/mol of formula units
energy: -7.265 eV per atom
formation energy: 77 meV per atom

Lattice parameters (Å, degrees): 6.0883 6.0883 4.8816 90.00 90.00 120.00
Space group P6_3/mmc (No. 194)
Asymmetric unit:
1 Zr 0.1741 0.3482 0.2500 (multiplicity 6)
2 Be 0.3333 0.6667 0.7500 (multiplicity 2)

Number 1: density of states at the Fermi level 5.2 states/eV/cell. Number 2: density of states at the Fermi level 3.8 states/eV/cell. Number 3: density of states at the Fermi level 3.9 states/eV/cell. Number 4: density of states at the Fermi level 2.3 states/eV/cell. Number 5: density of states at the Fermi level 14.6 states/eV/cell. Number 6: density of states at the Fermi level 25.9 states/eV/cell. Number 7: density of states at the Fermi level 8.3 states/eV/cell. Number 8: density of states at the Fermi level 0.0 states/eV/cell. Number 9: density of states at the Fermi level 43.4 states/eV/cell. Number 10: density of states at the Fermi level 19.3 states/eV/cell. Number 11: density of states at the Fermi level 9.8 states/eV/cell. Number 12: density of states at the Fermi level 4.7 states/eV/cell. Number 13: density of states at the Fermi level 18.3 states/eV/cell. Number 14: density of states at the Fermi level 2.9 states/eV/cell. Number 15: density of states at the Fermi level 3.0 states/eV/cell. Number 16: density of states at the Fermi level 6.0 states/eV/cell. Number 17: density of states at the Fermi level 0.0 states/eV/cell. Number 18: density of states at the Fermi level 3.4 states/eV/cell. Number 19: density of states at the Fermi level 6.2 states/eV/cell. Number 20: density of states at the Fermi level 6.0 states/eV/cell. Number 21: density of states at the Fermi level 15.4 states/eV/cell. Number 22: density of states at the Fermi level 1.9 states/eV/cell. Number 23: density of states at the Fermi level 9.9 states/eV/cell.